# YZr2Sc3N6 GGA-PBE optimized geometry
data_YZr2Sc3N6
_space_group_name_H-M_alt 'C 1 2/m 1'
_space_group_IT_number 12
_cell_length_a 14.208
_cell_length_b 3.265
_cell_length_c 6.530
_cell_angle_alpha 90.00
_cell_angle_beta 103.03
_cell_angle_gamma 90.00
loop_
_space_group_symop_operation_xyz
'x,y,z'
'-x,-y,-z'
'-x,y,-z'
'x,-y,z'
'x+1/2,y+1/2,z'
'-x+1/2,-y+1/2,-z'
'-x+1/2,y+1/2,-z'
'x+1/2,-y+1/2,z'
loop_
_atom_site_label
_atom_site_type_symbol
_atom_site_fract_x
_atom_site_fract_y
_atom_site_fract_z
Y1 Y 0.000 0.000 0.000
Zr1 Zr 0.167 0.500 0.335
Sc1 Sc 0.000 0.000 0.500
Sc2 Sc 0.167 0.500 0.833
N1 N 0.002 0.500 0.264
N2 N 0.167 0.000 0.584
N3 N 0.172 0.000 0.088
# E_form (uncorrected) ... -2096 kJ/mol of formula units
# M_tot ... 0.00 μB/f.u.

=====

# NiIrPt2 GGA-PBE optimized geometry
data_NiIrPt2
_space_group_name_H-M_alt 'C 1 2/m 1'
_space_group_IT_number 12
_cell_length_a 9.000
_cell_length_b 2.760
_cell_length_c 4.708
_cell_angle_alpha 90.00
_cell_angle_beta 100.43
_cell_angle_gamma 90.00
loop_
_space_group_symop_operation_xyz
'x,y,z'
'-x,-y,-z'
'-x,y,-z'
'x,-y,z'
'x+1/2,y+1/2,z'
'-x+1/2,-y+1/2,-z'
'-x+1/2,y+1/2,-z'
'x+1/2,-y+1/2,z'
loop_
_atom_site_label
_atom_site_type_symbol
_atom_site_fract_x
_atom_site_fract_y
_atom_site_fract_z
Ni1 Ni 0.000 0.000 0.000
Ir1 Ir 0.000 0.500 0.500
Pt1 Pt 0.249 0.500 0.248
# E above lowest polymorph ... 0.284 eV/f.u.
# DFT formation energy ... 4.5 kJ per mole of atoms
# M_tot ... 1.19 μB/f.u.

=====

# NaSrH3 GGA-PBE optimized geometry
data_NaSrH3
_space_group_name_H-M_alt 'P m -3 m'
_space_group_IT_number 221
_space_group_name_Hall '-P 4 2 3'
_cell_length_a 4.099
_cell_length_b 4.099
_cell_length_c 4.099
_cell_angle_alpha 90.00
_cell_angle_beta 90.00
_cell_angle_gamma 90.00
loop_
_atom_site_label
_atom_site_type_symbol
_atom_site_fract_x
_atom_site_fract_y
_atom_site_fract_z
Na1 Na 0.000 0.000 0.000
Sr1 Sr 0.500 0.500 0.500
H1 H 0.000 0.000 0.500
# E above lowest polymorph ... 0.444 eV/f.u.
# M_tot ... 0.00 μB/f.u.

=====

# ZrCrTc GGA-PBE optimized geometry
data_ZrCrTc
_space_group_name_H-M_alt 'P 3 m 1'
_space_group_IT_number 156
_cell_length_a 4.3471
_cell_length_b 4.3471
_cell_length_c 2.9245
_cell_angle_alpha 90.00
_cell_angle_beta 90.00
_cell_angle_gamma 120.00
loop_
_space_group_symop_operation_xyz
'x,y,z'
'-y,x-y,z'
'-x+y,-x,z'
'-y,-x,z'
'-x+y,y,z'
'x,x-y,z'
loop_
_atom_site_label
_atom_site_type_symbol
_atom_site_fract_x
_atom_site_fract_y
_atom_site_fract_z
Zr1 Zr 0.0000 0.0000 0.0000
Cr1 Cr 0.6667 0.3333 0.3563
Tc1 Tc 0.3333 0.6667 0.6508
# E above lowest polymorph ... 0.925 eV/f.u.
# DFT formation energy ... 9.3 kJ per mole of atoms
# M_tot ... 0.00 μB/f.u.

=====

# Ta2BMo GGA-PBE optimized geometry
data_Ta2BMo
_space_group_name_H-M_alt 'I -4 2 d'
_space_group_IT_number 122
_space_group_name_Hall 'I -4 2bw'
_cell_length_a 7.512
_cell_length_b 7.512
_cell_length_c 4.555
_cell_angle_alpha 90.00
_cell_angle_beta 90.00
_cell_angle_gamma 90.00
loop_
_atom_site_label
_atom_site_type_symbol
_atom_site_fract_x
_atom_site_fract_y
_atom_site_fract_z
Ta1 Ta 0.140 0.750 0.125
B1 B 0.000 0.000 0.000
Mo1 Mo 0.000 0.000 0.500
# DFT formation energy ... 28.8 kJ per mole of atoms
# M_tot ... 0.00 μB/f.u.

=====

# AgSbPd2 GGA-PBE optimized geometry
data_AgSbPd2
_space_group_name_H-M_alt 'I m m m'
_space_group_IT_number 71
_space_group_name_Hall '-I 2 2'
_cell_length_a 3.021
_cell_length_b 4.820
_cell_length_c 10.709
_cell_angle_alpha 90.00
_cell_angle_beta 90.00
_cell_angle_gamma 90.00
loop_
_atom_site_label
_atom_site_type_symbol
_atom_site_fract_x
_atom_site_fract_y
_atom_site_fract_z
Ag1 Ag 0.000 0.000 0.000
Sb1 Sb 0.000 0.000 0.500
Pd1 Pd 0.000 0.000 0.257
# E_form (uncorrected) ... 37 kJ/mol of formula units
# M_tot ... 0.00 μB/f.u.

=====

# Mg7Sn2Pb2 GGA-PBE optimized geometry
data_Mg7Sn2Pb2
_space_group_name_H-M_alt 'C m m m'
_space_group_IT_number 65
_space_group_name_Hall '-C 2 2'
_cell_length_a 9.061
_cell_length_b 10.023
_cell_length_c 6.778
_cell_angle_alpha 90.00
_cell_angle_beta 90.00
_cell_angle_gamma 90.00
loop_
_atom_site_label
_atom_site_type_symbol
_atom_site_fract_x
_atom_site_fract_y
_atom_site_fract_z
Mg1 Mg 0.000 0.000 0.000
Mg2 Mg 0.000 0.500 0.269
Mg3 Mg 0.250 0.250 0.259
Sn1 Sn 0.000 0.278 0.000
Pb1 Pb 0.192 0.000 0.500
# DFT formation energy ... -2.9 kJ per mole of atoms
# M_tot ... 0.00 μB/f.u.

=====

# TcIr2Ru GGA-PBE optimized geometry
data_TcIr2Ru
_space_group_name_H-M_alt 'R 3 m'
_space_group_IT_number 160
_space_group_name_Hall 'R 3 -2"'
_cell_length_a 2.7354
_cell_length_b 2.7354
_cell_length_c 26.6691
_cell_angle_alpha 90.00
_cell_angle_beta 90.00
_cell_angle_gamma 120.00
loop_
_atom_site_label
_atom_site_type_symbol
_atom_site_fract_x
_atom_site_fract_y
_atom_site_fract_z
Tc1 Tc 0.0000 0.0000 0.0000
Ir1 Ir 0.0000 0.0000 0.5015
Ir2 Ir 0.0000 0.0000 0.7490
Ru1 Ru 0.0000 0.0000 0.2510
# E above lowest polymorph ... 0.671 eV/f.u.
# DFT formation energy ... 0.0 kJ per mole of atoms
# M_tot ... 0.00 μB/f.u.

=====

# EuSnPt GGA-PBE optimized geometry
data_EuSnPt
_space_group_name_H-M_alt 'P -6 m 2'
_space_group_IT_number 187
_space_group_name_Hall 'P -6 2'
_cell_length_a 4.6577
_cell_length_b 4.6577
_cell_length_c 3.9740
_cell_angle_alpha 90.00
_cell_angle_beta 90.00
_cell_angle_gamma 120.00
loop_
_atom_site_label
_atom_site_type_symbol
_atom_site_fract_x
_atom_site_fract_y
_atom_site_fract_z
Eu1 Eu 0.0000 0.0000 0.0000
Sn1 Sn 0.6667 0.3333 0.5000
Pt1 Pt 0.3333 0.6667 0.5000
# DFT formation energy ... -82.5 kJ per mole of atoms
# M_tot ... 6.90 μB/f.u.

=====

# Nd3BiH3 GGA-PBE optimized geometry
data_Nd3BiH3
_space_group_name_H-M_alt 'R -3'
_space_group_IT_number 148
_space_group_name_Hall '-R 3'
_cell_length_a 7.0459
_cell_length_b 7.0459
_cell_length_c 21.7089
_cell_angle_alpha 90.00
_cell_angle_beta 90.00
_cell_angle_gamma 120.00
loop_
_atom_site_label
_atom_site_type_symbol
_atom_site_fract_x
_atom_site_fract_y
_atom_site_fract_z
Nd1 Nd 0.9996 0.3347 0.4333
Bi1 Bi 0.0000 0.0000 0.3338
H1 H 0.0019 0.6728 0.4593
# E above lowest polymorph ... 0.000 eV/f.u.
# M_tot ... 0.44 μB/f.u.

=====

# Ac3Al4Ag2 GGA-PBE optimized geometry
data_Ac3Al4Ag2
_space_group_name_H-M_alt 'C 1 2/m 1'
_space_group_IT_number 12
_cell_length_a 11.483
_cell_length_b 4.772
_cell_length_c 9.195
_cell_angle_alpha 90.00
_cell_angle_beta 104.48
_cell_angle_gamma 90.00
loop_
_space_group_symop_operation_xyz
'x,y,z'
'-x,-y,-z'
'-x,y,-z'
'x,-y,z'
'x+1/2,y+1/2,z'
'-x+1/2,-y+1/2,-z'
'-x+1/2,y+1/2,-z'
'x+1/2,-y+1/2,z'
loop_
_atom_site_label
_atom_site_type_symbol
_atom_site_fract_x
_atom_site_fract_y
_atom_site_fract_z
Ac1 Ac 0.000 0.000 0.000
Ac2 Ac 0.131 0.500 0.691
Al1 Al 0.096 0.000 0.422
Al2 Al 0.224 0.500 0.065
Ag1 Ag 0.166 0.500 0.330
# DFT formation energy ... -29.6 kJ per mole of atoms
# M_tot ... 0.00 μB/f.u.

=====

# Lu2MgTc GGA-PBE optimized geometry
data_Lu2MgTc
_space_group_name_H-M_alt 'R -3 m'
_space_group_IT_number 166
_space_group_name_Hall '-R 3 2"'
_cell_length_a 3.3764
_cell_length_b 3.3764
_cell_length_c 28.8655
_cell_angle_alpha 90.00
_cell_angle_beta 90.00
_cell_angle_gamma 120.00
loop_
_atom_site_label
_atom_site_type_symbol
_atom_site_fract_x
_atom_site_fract_y
_atom_site_fract_z
Lu1 Lu 0.0000 0.0000 0.2357
Mg1 Mg 0.0000 0.0000 0.0000
Tc1 Tc 0.0000 0.0000 0.5000
# E above lowest polymorph ... 0.792 eV/f.u.
# DFT formation energy ... 5.3 kJ per mole of atoms
# M_tot ... 0.00 μB/f.u.

=====

# Nd2UGe3Pt4 GGA-PBE optimized geometry
data_Nd2UGe3Pt4
_space_group_name_H-M_alt 'P -4 m 2'
_space_group_IT_number 115
_cell_length_a 4.345
_cell_length_b 4.345
_cell_length_c 11.072
_cell_angle_alpha 90.00
_cell_angle_beta 90.00
_cell_angle_gamma 90.00
loop_
_space_group_symop_operation_xyz
'x,y,z'
'y,-x,-z'
'-x,-y,z'
'-y,x,-z'
'-x,y,z'
'-y,-x,-z'
'x,-y,z'
'y,x,-z'
loop_
_atom_site_label
_atom_site_type_symbol
_atom_site_fract_x
_atom_site_fract_y
_atom_site_fract_z
Nd1 Nd 0.000 0.500 0.224
U1 U 0.000 0.000 0.500
Ge1 Ge 0.000 0.500 0.878
Ge2 Ge 0.500 0.500 0.500
Pt1 Pt 0.000 0.000 0.000
Pt2 Pt 0.000 0.500 0.655
Pt3 Pt 0.500 0.500 0.000
# DFT formation energy ... -79.0 kJ per mole of atoms
# M_tot ... 2.39 μB/f.u.

=====

# Er2Co3Ge5 GGA-PBE optimized geometry
data_Er2Co3Ge5
_space_group_name_H-M_alt 'C 1 2/c 1'
_space_group_IT_number 15
_cell_length_a 10.987
_cell_length_b 11.781
_cell_length_c 5.704
_cell_angle_alpha 90.00
_cell_angle_beta 119.05
_cell_angle_gamma 90.00
loop_
_space_group_symop_operation_xyz
'x,y,z'
'-x,-y,-z'
'-x,y,-z+1/2'
'x,-y,z+1/2'
'x+1/2,y+1/2,z'
'-x+1/2,-y+1/2,-z'
'-x+1/2,y+1/2,-z+1/2'
'x+1/2,-y+1/2,z+1/2'
loop_
_atom_site_label
_atom_site_type_symbol
_atom_site_fract_x
_atom_site_fract_y
_atom_site_fract_z
Er1 Er 0.232 0.141 0.233
Co1 Co 0.000 0.496 0.750
Co2 Co 0.097 0.140 0.622
Ge1 Ge 0.000 0.010 0.250
Ge2 Ge 0.000 0.272 0.250
Ge3 Ge 0.000 0.287 0.750
Ge4 Ge 0.171 0.409 0.175
# E above lowest polymorph ... 0.000 eV/f.u.
# DFT formation energy ... -55.6 kJ per mole of atoms
# M_tot ... 0.56 μB/f.u.

=====

# EuCdGa GGA-PBE optimized geometry
data_EuCdGa
_space_group_name_H-M_alt 'F -4 3 m'
_space_group_IT_number 216
_space_group_name_Hall 'F -4 2 3'
_cell_length_a 6.935
_cell_length_b 6.935
_cell_length_c 6.935
_cell_angle_alpha 90.00
_cell_angle_beta 90.00
_cell_angle_gamma 90.00
loop_
_atom_site_label
_atom_site_type_symbol
_atom_site_fract_x
_atom_site_fract_y
_atom_site_fract_z
Eu1 Eu 0.000 0.000 0.000
Cd1 Cd 0.000 0.000 0.500
Ga1 Ga 0.250 0.250 0.250
# DFT formation energy ... -25.2 kJ per mole of atoms
# M_tot ... 6.94 μB/f.u.

=====

# LaSn3F GGA-PBE optimized geometry
data_LaSn3F
_space_group_name_H-M_alt 'P m -3 m'
_space_group_IT_number 221
_space_group_name_Hall '-P 4 2 3'
_cell_length_a 6.117
_cell_length_b 6.117
_cell_length_c 6.117
_cell_angle_alpha 90.00
_cell_angle_beta 90.00
_cell_angle_gamma 90.00
loop_
_atom_site_label
_atom_site_type_symbol
_atom_site_fract_x
_atom_site_fract_y
_atom_site_fract_z
La1 La 0.000 0.000 0.000
Sn1 Sn 0.000 0.000 0.500
F1 F 0.500 0.500 0.500
# E above lowest polymorph ... 6.650 eV/f.u.
# E_form (uncorrected) ... 220 kJ/mol of formula units
# M_tot ... 0.93 μB/f.u.

=====

# LaMgCu GGA-PBE optimized geometry
data_LaMgCu
_space_group_name_H-M_alt 'P 4/n m m'
_space_group_IT_number 129
_cell_length_a 4.252
_cell_length_b 4.252
_cell_length_c 7.942
_cell_angle_alpha 90.00
_cell_angle_beta 90.00
_cell_angle_gamma 90.00
loop_
_space_group_symop_operation_xyz
'x,y,z'
'-x,-y,-z'
'-y+1/2,x,z'
'y+1/2,-x,-z'
'-x+1/2,-y+1/2,z'
'x+1/2,y+1/2,-z'
'y,-x+1/2,z'
'-y,x+1/2,-z'
'x+1/2,-y,-z'
'-x+1/2,y,z'
'-y,-x,-z'
'y,x,z'
'-x,y+1/2,-z'
'x,-y+1/2,z'
'y+1/2,x+1/2,-z'
'-y+1/2,-x+1/2,z'
loop_
_atom_site_label
_atom_site_type_symbol
_atom_site_fract_x
_atom_site_fract_y
_atom_site_fract_z
La1 La 0.250 0.250 0.147
Mg1 Mg 0.250 0.750 0.500
Cu1 Cu 0.250 0.250 0.730
# DFT formation energy ... -12.6 kJ per mole of atoms
# M_tot ... 0.00 μB/f.u.

=====

# ZrTi7Ni5 GGA-PBE optimized geometry
data_ZrTi7Ni5
_space_group_name_H-M_alt 'I m m 2'
_space_group_IT_number 44
_cell_length_a 4.960
_cell_length_b 8.769
_cell_length_c 8.894
_cell_angle_alpha 90.00
_cell_angle_beta 90.00
_cell_angle_gamma 90.00
loop_
_space_group_symop_operation_xyz
'x,y,z'
'-x,-y,z'
'-x,y,z'
'x,-y,z'
'x+1/2,y+1/2,z+1/2'
'-x+1/2,-y+1/2,z+1/2'
'-x+1/2,y+1/2,z+1/2'
'x+1/2,-y+1/2,z+1/2'
loop_
_atom_site_label
_atom_site_type_symbol
_atom_site_fract_x
_atom_site_fract_y
_atom_site_fract_z
Zr1 Zr 0.000 0.000 0.000
Ti1 Ti 0.000 0.000 0.341
Ti2 Ti 0.000 0.000 0.641
Ti3 Ti 0.000 0.299 0.526
Ti4 Ti 0.000 0.348 0.997
Ti5 Ti 0.000 0.500 0.280
Ni1 Ni 0.000 0.500 0.734
Ni2 Ni 0.249 0.254 0.263
# DFT formation energy ... -27.0 kJ per mole of atoms
# M_tot ... 0.00 μB/f.u.

=====

# DyErTe GGA-PBE optimized geometry
data_DyErTe
_space_group_name_H-M_alt 'P 3 m 1'
_space_group_IT_number 156
_cell_length_a 5.1312
_cell_length_b 5.1312
_cell_length_c 3.9428
_cell_angle_alpha 90.00
_cell_angle_beta 90.00
_cell_angle_gamma 120.00
loop_
_space_group_symop_operation_xyz
'x,y,z'
'-y,x-y,z'
'-x+y,-x,z'
'-y,-x,z'
'-x+y,y,z'
'x,x-y,z'
loop_
_atom_site_label
_atom_site_type_symbol
_atom_site_fract_x
_atom_site_fract_y
_atom_site_fract_z
Dy1 Dy 0.0000 0.0000 0.0000
Er1 Er 0.3333 0.6667 0.4927
Te1 Te 0.6667 0.3333 0.2635
# E above lowest polymorph ... 1.114 eV/f.u.
# E_form (uncorrected) ... -134 kJ/mol of formula units
# M_tot ... 0.00 μB/f.u.

=====

# Sr3TlHg2 GGA-PBE optimized geometry
data_Sr3TlHg2
_space_group_name_H-M_alt 'P 4/m m m'
_space_group_IT_number 123
_space_group_name_Hall '-P 4 2'
_cell_length_a 4.056
_cell_length_b 4.056
_cell_length_c 11.990
_cell_angle_alpha 90.00
_cell_angle_beta 90.00
_cell_angle_gamma 90.00
loop_
_atom_site_label
_atom_site_type_symbol
_atom_site_fract_x
_atom_site_fract_y
_atom_site_fract_z
Sr1 Sr 0.000 0.000 0.000
Sr2 Sr 0.000 0.000 0.329
Tl1 Tl 0.500 0.500 0.500
Hg1 Hg 0.500 0.500 0.167
# E above lowest polymorph ... 0.031 eV/f.u.
# DFT formation energy ... -48.2 kJ per mole of atoms
# M_tot ... 0.00 μB/f.u.